1.
Here is BaNb4Bi4PbO18 after structural relaxation from Alexandria. Energies are from GGA-PBE.

Cell: 12.9498 12.9498 5.6631 Å, 90.00 90.00 154.66°
Closest atoms and distances in Å follow each position.
Fractional coordinates of all 28 atoms:
O 0.5844 0.4418 0.7559  2 Nb 1.96-2.12
O 0.7509 0.2463 0.7494  3 Bi 2.24-2.46
O 0.2463 0.7509 0.2506  3 Bi 2.24-2.46
O 0.0999 0.9237 0.7445  2 Nb 1.94-2.09
O 0.2463 0.7509 0.7494  3 Bi 2.24-2.46
O 0.9237 0.0999 0.7445  2 Nb 1.94-2.09
O 0.4876 0.1692 0.0000  1 Nb 1.91
O 0.5118 0.8309 0.5000  1 Nb 1.90
O 0.0999 0.9237 0.2555  2 Nb 1.94-2.09
O 0.9237 0.0999 0.2555  2 Nb 1.94-2.09
O 0.1692 0.4876 0.0000  1 Nb 1.91
O 0.8309 0.5118 0.5000  1 Nb 1.90
O 0.4418 0.5844 0.2441  2 Nb 1.96-2.12
O 0.4418 0.5844 0.7559  2 Nb 1.96-2.12
O 0.7821 0.7821 0.5000  2 Nb 2.18
O 0.2251 0.2251 0.0000  2 Nb 2.19
O 0.5844 0.4418 0.2441  2 Nb 1.96-2.12
O 0.7509 0.2463 0.2506  3 Bi 2.24-2.46
Bi 0.0875 0.4912 0.5000  5 O 2.24-2.46
Bi 0.4912 0.0875 0.5000  5 O 2.24-2.46
Bi 0.8998 0.4983 0.0000  3 O 2.24-2.35
Bi 0.4983 0.8998 0.0000  3 O 2.24-2.35
Nb 0.1523 0.3253 0.0000  5 O 1.91-2.12
Nb 0.6507 0.8223 0.5000  5 O 1.90-2.09
Nb 0.8223 0.6507 0.5000  5 O 1.90-2.09
Nb 0.3253 0.1523 0.0000  5 O 1.91-2.12
Pb 0.7277 0.7277 0.0000  8 O 2.58-2.86
Ba 0.2442 0.2442 0.5000  11 O 2.63-2.94

Values from the calculation:
Calculated volume   406.51 Å³/cell
DOS(E_F)   0.000 states/eV/atom
Formation energy without anion corrections   -198.1 kJ per mole of atoms
Calculated density   7.5 g/cm³

---

2.
Here is Os3WCl after structural relaxation from Alexandria. Energies are from GGA-PBE.

Cell: 4.3246 4.3246 4.3246 Å, 90.00 90.00 90.00°
Closest atoms and distances in Å follow each position.
Fractional coordinates of all 5 atoms:
Os 0.0000 0.5000 0.0000  2 Cl 2.16
Os 0.0000 0.0000 0.5000  2 Cl 2.16
Os 0.5000 0.0000 0.0000  2 Cl 2.16
W 0.5000 0.5000 0.5000  12 Os 3.06
Cl 0.0000 0.0000 0.0000  6 Os 2.16

Values from the calculation:
Calculated volume   80.88 Å³/cell
Polymorph energy (0 for the lowest one)   0.0 meV per atom
DOS(E_F)   1.281 states/eV/atom
Formation energy without anion corrections   195.8 kJ per mole of atoms
Calculated density   16.2 g/cm³

---

3.
Here is Cr2ReBr after structural relaxation from Alexandria. Energies are from GGA-PBE.

Cell: 3.4002 3.1037 6.7756 Å, 76.72 90.00 90.00°
Closest atoms and distances in Å follow each position.
Fractional coordinates of all 4 atoms:
Cr 0.5000 0.3286 0.2166  4 Cr 2.51, 4 Re 2.58, 1 Br 2.59
Cr 0.0000 0.9037 0.0667  1 Re 2.15
Br 0.5000 0.5279 0.8236  5 Cr 2.59-2.81
Re 0.0000 0.7398 0.3931  1 Cr 2.15

Values from the calculation:
Calculated volume   69.59 Å³/cell
Polymorph energy (0 for the lowest one)   267.1 meV per atom
DOS(E_F)   0.585 states/eV/atom
Formation energy without anion corrections   61.8 kJ per mole of atoms
Calculated density   8.8 g/cm³

---

4.
Here is ZrRu2O2 after structural relaxation from Alexandria. Energies are from GGA-PBE.

Cell: 3.7678 3.7678 5.3332 Å, 69.31 69.31 90.00°
Closest atoms and distances in Å follow each position.
Fractional coordinates of all 5 atoms:
Ru 0.7500 0.2500 0.5000  4 O 2.20
Ru 0.2500 0.7500 0.5000  4 O 2.20
O 0.3731 0.3731 0.2537  4 Ru 2.20, 1 O 2.34
O 0.6269 0.6269 0.7463  4 Ru 2.20, 1 O 2.34
Zr 0.0000 0.0000 0.0000  8 O 2.91, 8 Ru 2.98

Values from the calculation:
Calculated volume   65.59 Å³/cell
Polymorph energy (0 for the lowest one)   1145.7 meV per atom
DOS(E_F)   1.591 states/eV/atom
Formation energy without anion corrections   -4.3 kJ per mole of atoms
Calculated density   8.2 g/cm³

---

What did the second record say?
Here is Os3WCl after structural relaxation from Alexandria. Energies are from GGA-PBE.

Cell: 4.3246 4.3246 4.3246 Å, 90.00 90.00 90.00°
Closest atoms and distances in Å follow each position.
Fractional coordinates of all 5 atoms:
Os 0.0000 0.5000 0.0000  2 Cl 2.16
Os 0.0000 0.0000 0.5000  2 Cl 2.16
Os 0.5000 0.0000 0.0000  2 Cl 2.16
W 0.5000 0.5000 0.5000  12 Os 3.06
Cl 0.0000 0.0000 0.0000  6 Os 2.16

Values from the calculation:
Calculated volume   80.88 Å³/cell
Polymorph energy (0 for the lowest one)   0.0 meV per atom
DOS(E_F)   1.281 states/eV/atom
Formation energy without anion corrections   195.8 kJ per mole of atoms
Calculated density   16.2 g/cm³